VASP calculation (PBE) on InCuReW2 after structural relaxation.

a = 4.780 Å, b = 4.780 Å, c = 4.737 Å
α = 90.00°, β = 90.00°, γ = 90.00°
Atoms (fractional coordinates):
1 In 0.000 0.000 0.000
2 Cu 0.500 0.500 0.000
3 Re 0.500 0.500 0.500
4 W 0.000 0.500 0.500
5 W 0.500 0.000 0.500

Calculated values
* calculated formation energy: 1.7249 eV per atom

=====

VASP calculation (PBE) on La2ZnGe3Pt4 after structural relaxation.

a = 4.409 Å, b = 4.409 Å, c = 10.169 Å
α = 90.00°, β = 90.00°, γ = 90.00°
Atoms (fractional coordinates):
1 La 0.000 0.500 0.246
2 La 0.500 0.000 0.754
3 Zn 0.500 0.500 0.000
4 Ge 0.000 0.000 0.000
5 Ge 0.000 0.500 0.628
6 Ge 0.500 0.000 0.372
7 Pt 0.000 0.000 0.500
8 Pt 0.000 0.500 0.871
9 Pt 0.500 0.000 0.129
10 Pt 0.500 0.500 0.500

Calculated values
* calculated formation energy: -0.9571 eV per atom

=====

VASP calculation (PBE) on BaNi3Pd after structural relaxation.

a = 4.814 Å, b = 4.814 Å, c = 4.814 Å
α = 90.00°, β = 90.00°, γ = 90.00°
Atoms (fractional coordinates):
1 Ba 0.000 0.000 0.000
2 Ni 0.000 0.000 0.500
3 Ni 0.000 0.500 0.000
4 Ni 0.500 0.000 0.000
5 Pd 0.500 0.500 0.500

Calculated values
* ΔE to the lowest computed polymorph: 127.82 kJ per mole of atoms
* calculated formation energy: 1.8541 eV per atom

=====

Copy entry 2 word for word.
VASP calculation (PBE) on La2ZnGe3Pt4 after structural relaxation.

a = 4.409 Å, b = 4.409 Å, c = 10.169 Å
α = 90.00°, β = 90.00°, γ = 90.00°
Atoms (fractional coordinates):
1 La 0.000 0.500 0.246
2 La 0.500 0.000 0.754
3 Zn 0.500 0.500 0.000
4 Ge 0.000 0.000 0.000
5 Ge 0.000 0.500 0.628
6 Ge 0.500 0.000 0.372
7 Pt 0.000 0.000 0.500
8 Pt 0.000 0.500 0.871
9 Pt 0.500 0.000 0.129
10 Pt 0.500 0.500 0.500

Calculated values
* calculated formation energy: -0.9571 eV per atom

=====

Question: calculated formation energy of number 3 (BaNi3Pd)?
Answer: 1.8541 eV per atom

=====

Question: The highest calculated formation energy belongs to which entry?
Answer: BaNi3Pd

=====

Question: Which of these has the lowest calculated formation energy?
Answer: La2ZnGe3Pt4